CaCoSi4O10 | the Alexandria database | PBE+U | relaxed; uncorrected energy = -0.5528 Ry/atom; spin magnetization = 3.1 μB/f.u.
1.0
7.4382 0.0000 0.0000
0.0000 7.4382 0.0000
0.0000 0.0000 15.3629
Ca Co Si O
4 4 16 40
Direct
0.2500 0.7500 0.0000
0.2500 0.7500 0.5000
0.7500 0.2500 0.0000
0.7500 0.2500 0.5000
0.2500 0.2500 0.0784
0.2500 0.2500 0.5784
0.7500 0.7500 0.4216
0.7500 0.7500 0.9216
0.0020 0.0770 0.3522
0.0020 0.4230 0.8522
0.0770 0.0020 0.8522
0.0770 0.4980 0.3522
0.4230 0.0020 0.3522
0.4230 0.4980 0.8522
0.4980 0.0770 0.8522
0.4980 0.4230 0.3522
0.5020 0.5770 0.6478
0.5020 0.9230 0.1478
0.5770 0.5020 0.1478
0.5770 0.9980 0.6478
0.9230 0.5020 0.6478
0.9230 0.9980 0.1478
0.9980 0.5770 0.1478
0.9980 0.9230 0.6478
0.0000 0.2049 0.8728
0.0000 0.2951 0.3728
0.0000 0.7049 0.6272
0.0000 0.7951 0.1272
0.0017 0.1474 0.0826
0.0017 0.3526 0.5826
0.0419 0.5419 0.2500
0.0419 0.9581 0.7500
0.1474 0.0017 0.5826
0.1474 0.4983 0.0826
0.2049 0.0000 0.3728
0.2049 0.5000 0.8728
0.2951 0.0000 0.8728
0.2951 0.5000 0.3728
0.3526 0.0017 0.0826
0.3526 0.4983 0.5826
0.4581 0.5419 0.7500
0.4581 0.9581 0.2500
0.4983 0.1474 0.5826
0.4983 0.3526 0.0826
0.5000 0.2049 0.3728
0.5000 0.2951 0.8728
0.5000 0.7049 0.1272
0.5000 0.7951 0.6272
0.5017 0.6474 0.9174
0.5017 0.8526 0.4174
0.5419 0.0419 0.7500
0.5419 0.4581 0.2500
0.6474 0.5017 0.4174
0.6474 0.9983 0.9174
0.7049 0.0000 0.1272
0.7049 0.5000 0.6272
0.7951 0.0000 0.6272
0.7951 0.5000 0.1272
0.8526 0.5017 0.9174
0.8526 0.9983 0.4174
0.9581 0.0419 0.2500
0.9581 0.4581 0.7500
0.9983 0.6474 0.4174
0.9983 0.8526 0.9174